Record 1
Computed, not measured: crystalline Li2CoSe at its relaxed geometry at the PBE level of DFT.

abc: 9.1793 9.1793 9.1793
angles: 157.24 157.24 32.41
With the nearest neighbours (Å) after each atom.
Atoms (fractional coordinates):
1 Li 0.1181 0.6250 0.9931  4 Li 2.53-2.60, 2 Se 2.54, 2 Co 2.56
2 Li 0.3750 0.3681 0.4931  4 Li 2.53-2.60, 2 Se 2.54, 2 Co 2.56
3 Li 0.6319 0.1250 0.0069  4 Li 2.53-2.60, 2 Se 2.54, 2 Co 2.56
4 Li 0.8750 0.8819 0.5069  4 Li 2.53-2.60, 2 Se 2.54, 2 Co 2.56
5 Co 0.2500 0.7500 0.5000  4 Li 2.56, 4 Se 2.56
6 Co 0.5000 0.5000 0.0000  4 Li 2.56, 4 Se 2.56
7 Se 0.0000 0.0000 0.0000  4 Li 2.54, 4 Co 2.56
8 Se 0.7500 0.2500 0.5000  4 Li 2.54, 4 Co 2.56

**E_form (uncorrected)**: -0.31 eV/f.u.
**V**: 14.46 A^3/atom
**DFT total energy**: -3.682 eV per atom

---

Record 2
Computed, not measured: crystalline Sr2TaI at its relaxed geometry at the PBE level of DFT.

abc: 5.8457 5.8457 5.8457
angles: 60.00 60.00 60.00
With the nearest neighbours (Å) after each atom.
Atoms (fractional coordinates):
1 Sr 0.2500 0.2500 0.2500  4 Ta 3.58, 4 I 3.58
2 Sr 0.7500 0.7500 0.7500  4 Ta 3.58, 4 I 3.58
3 Ta 0.0000 0.0000 0.0000  8 Sr 3.58
4 I 0.5000 0.5000 0.5000  8 Sr 3.58

**E_form (uncorrected)**: 2.46 eV/f.u.
**V**: 35.31 A^3/atom
**DFT total energy**: -3.578 eV per atom
**Energy above the lowest structure with this stoichiometry**: 0.0 meV per atom

---

Q: Which of these has the highest V?
A: Sr2TaI

---

Q: Among the records above, which one has the lowest DFT total energy?
A: Li2CoSe